No. 1
Material: CePr3Y6Ho2
Method: DFT, PBE
State: optimized geometry

Structure (CIF):
```
data_CePr3Y6Ho2
_chemical_formula_sum 'Ce2 Pr6 Y12 Ho4'
_space_group_name_H-M_alt 'C 1 2/m 1'
_space_group_IT_number 12
_space_group_name_Hall '-C 2y'
_cell_length_a 6.2461
_cell_length_b 10.8162
_cell_length_c 11.8844
_cell_angle_alpha 90.00
_cell_angle_beta 100.07
_cell_angle_gamma 90.00
loop_
_atom_site_label
_atom_site_fract_x
_atom_site_fract_y
_atom_site_fract_z
_atom_site_occupancy
Ce1 0.0000 0.0000 0.0000 1
Pr1 0.0000 0.1676 0.5000 1
Pr2 0.0000 0.5000 0.5000 1
Y1 0.2477 0.1656 0.2457 1
Y2 0.2494 0.0000 0.7541 1
Ho1 0.0000 0.3333 0.0000 1
```

No. 2
Material: CeHoPt6
Method: DFT, PBE
State: optimized geometry

Structure (CIF):
```
data_CeHoPt6
_chemical_formula_sum 'Ce1 Ho1 Pt6'
_space_group_name_H-M_alt 'P 4/m m m'
_space_group_IT_number 123
_space_group_name_Hall '-P 4 2'
_cell_length_a 4.1409
_cell_length_b 4.1409
_cell_length_c 8.2689
_cell_angle_alpha 90.00
_cell_angle_beta 90.00
_cell_angle_gamma 90.00
loop_
_atom_site_label
_atom_site_fract_x
_atom_site_fract_y
_atom_site_fract_z
_atom_site_occupancy
Ce1 0.0000 0.0000 0.0000 1
Ho1 0.0000 0.0000 0.5000 1
Pt1 0.0000 0.5000 0.2497 1
Pt2 0.5000 0.5000 0.0000 1
Pt3 0.5000 0.5000 0.5000 1
```

No. 3
Material: CeHoPt2
Method: DFT, PBE
State: optimized geometry

Structure (CIF):
```
data_CeHoPt2
_chemical_formula_sum 'Ce3 Ho3 Pt6'
_space_group_name_H-M_alt 'R -3 m'
_space_group_IT_number 166
_space_group_name_Hall '-R 3 2"'
_cell_length_a 4.0804
_cell_length_b 4.0804
_cell_length_c 20.0972
_cell_angle_alpha 90.00
_cell_angle_beta 90.00
_cell_angle_gamma 120.00
loop_
_atom_site_label
_atom_site_fract_x
_atom_site_fract_y
_atom_site_fract_z
_atom_site_occupancy
Ce1 0.0000 0.0000 0.0000 1
Ho1 0.0000 0.0000 0.5000 1
Pt1 0.0000 0.0000 0.2497 1
```

No. 4
Material: CeHo2Pt
Method: DFT, PBE
State: optimized geometry

Structure (CIF):
```
data_CeHo2Pt
_chemical_formula_sum 'Ce4 Ho8 Pt4'
_space_group_name_H-M_alt 'F m -3 m'
_space_group_IT_number 225
_space_group_name_Hall '-F 4 2 3'
_cell_length_a 7.1697
_cell_length_b 7.1697
_cell_length_c 7.1697
_cell_angle_alpha 90.00
_cell_angle_beta 90.00
_cell_angle_gamma 90.00
loop_
_atom_site_label
_atom_site_fract_x
_atom_site_fract_y
_atom_site_fract_z
_atom_site_occupancy
Ce1 0.0000 0.0000 0.0000 1
Ho1 0.2500 0.2500 0.2500 1
Pt1 0.0000 0.0000 0.5000 1
```

No. 5
Material: Ce2HoPt9
Method: DFT, PBE
State: optimized geometry

Structure (CIF):
```
data_Ce2HoPt9
_chemical_formula_sum 'Ce6 Ho3 Pt27'
_space_group_name_H-M_alt 'R -3 m'
_space_group_IT_number 166
_space_group_name_Hall '-R 3 2"'
_cell_length_a 5.4098
_cell_length_b 5.4098
_cell_length_c 26.9261
_cell_angle_alpha 90.00
_cell_angle_beta 90.00
_cell_angle_gamma 120.00
loop_
_atom_site_label
_atom_site_fract_x
_atom_site_fract_y
_atom_site_fract_z
_atom_site_occupancy
Ce1 0.0000 0.0000 0.1387 1
Ho1 0.0000 0.0000 0.0000 1
Pt1 0.0000 0.0000 0.3329 1
Pt2 0.0000 0.0000 0.5000 1
Pt3 0.0032 0.5016 0.9154 1
```

No. 6
Material: CeHo2Pt
Method: DFT, PBE
State: optimized geometry

Structure (CIF):
```
data_CeHo2Pt
_chemical_formula_sum 'Ce3 Ho6 Pt3'
_space_group_name_H-M_alt 'R 3 m'
_space_group_IT_number 160
_space_group_name_Hall 'R 3 -2"'
_cell_length_a 3.8631
_cell_length_b 3.8631
_cell_length_c 27.6959
_cell_angle_alpha 90.00
_cell_angle_beta 90.00
_cell_angle_gamma 120.00
loop_
_atom_site_label
_atom_site_fract_x
_atom_site_fract_y
_atom_site_fract_z
_atom_site_occupancy
Ce1 0.0000 0.0000 0.0000 1
Ho1 0.0000 0.0000 0.5581 1
Ho2 0.0000 0.0000 0.7708 1
Pt1 0.0000 0.0000 0.1641 1
```

| no. | magnetization (Bohr magnetons per cell) | E (eV/atom) | DFT formation energy (eV per atom) |
| --- | --- | --- | --- |
| 1 | 2.39 | -5.650 | 0.035 |
| 2 | 0.00 | -6.884 | -1.039 |
| 3 | 0.79 | -6.770 | -1.122 |
| 4 | 0.00 | -5.611 | -0.329 |
| 5 | 2.94 | -6.801 | -0.900 |
| 6 | 5.46 | -5.736 | -0.454 |